Material: Zr2InC
Method: DFT, PBE-GGA
State: optimized geometry

Output
**VASP energy**: -63.7 eV for the cell shown

```
data_Zr2InC
_chemical_formula_sum 'Zr4 In2 C2'
_space_group_name_H-M_alt 'P 1'
_space_group_IT_number 1
_cell_length_a 3.370
_cell_length_b 3.370
_cell_length_c 15.115
_cell_angle_alpha 90.00
_cell_angle_beta 90.00
_cell_angle_gamma 120.00
loop_
_space_group_symop_operation_xyz
'x,y,z'
loop_
_atom_site_label
_atom_site_type_symbol
_atom_site_fract_x
_atom_site_fract_y
_atom_site_fract_z
C1 C 0.000 0.000 0.000
C2 C 0.000 0.000 0.500
Zr1 Zr 0.667 0.333 0.918
Zr2 Zr 0.667 0.333 0.582
Zr3 Zr 0.333 0.667 0.082
Zr4 Zr 0.333 0.667 0.418
In1 In 0.333 0.667 0.750
In2 In 0.667 0.333 0.250
```


Material: TbPuCu
Method: DFT, PBE-GGA
State: optimized geometry

Output
**Formation energy from the elements**: 0.7 eV/f.u.

```
data_TbPuCu
_chemical_formula_sum 'Tb1 Pu1 Cu1'
_space_group_name_H-M_alt 'P 1'
_space_group_IT_number 1
_cell_length_a 4.701
_cell_length_b 4.701
_cell_length_c 4.701
_cell_angle_alpha 60.00
_cell_angle_beta 60.00
_cell_angle_gamma 60.00
loop_
_space_group_symop_operation_xyz
'x,y,z'
loop_
_atom_site_label
_atom_site_type_symbol
_atom_site_fract_x
_atom_site_fract_y
_atom_site_fract_z
Cu1 Cu 0.000 0.000 0.000
Tb1 Tb 0.750 0.750 0.750
Pu1 Pu 0.250 0.250 0.250
```


Material: Hf4AsPbC2
Method: DFT, PBE-GGA
State: optimized geometry

Output
**VASP energy**: -73.1 eV for the cell shown

```
data_Hf4AsPbC2
_chemical_formula_sum 'Hf4 As1 Pb1 C2'
_space_group_name_H-M_alt 'P 1'
_space_group_IT_number 1
_cell_length_a 3.400
_cell_length_b 3.400
_cell_length_c 13.604
_cell_angle_alpha 90.00
_cell_angle_beta 90.00
_cell_angle_gamma 120.00
loop_
_space_group_symop_operation_xyz
'x,y,z'
loop_
_atom_site_label
_atom_site_type_symbol
_atom_site_fract_x
_atom_site_fract_y
_atom_site_fract_z
As1 As 0.667 0.333 0.500
Hf1 Hf 0.667 0.333 0.181
Hf2 Hf 0.667 0.333 0.819
Hf3 Hf 0.000 0.000 0.359
Hf4 Hf 0.000 0.000 0.641
C1 C 0.333 0.667 0.268
C2 C 0.333 0.667 0.732
Pb1 Pb 0.000 0.000 0.000
```


Material: CsTb2Cu3SeS4
Method: DFT, PBE-GGA
State: optimized geometry

Output
**VASP energy**: -109.1 eV for the cell shown

```
data_CsTb2Cu3SeS4
_chemical_formula_sum 'Cs2 Tb4 Cu6 Se2 S8'
_space_group_name_H-M_alt 'P 1'
_space_group_IT_number 1
_cell_length_a 7.337
_cell_length_b 7.337
_cell_length_c 17.045
_cell_angle_alpha 90.00
_cell_angle_beta 90.00
_cell_angle_gamma 148.30
loop_
_space_group_symop_operation_xyz
'x,y,z'
loop_
_atom_site_label
_atom_site_type_symbol
_atom_site_fract_x
_atom_site_fract_y
_atom_site_fract_z
Tb1 Tb 0.190 0.810 0.411
Tb2 Tb 0.190 0.810 0.089
Tb3 Tb 0.810 0.190 0.911
Tb4 Tb 0.810 0.190 0.589
S1 S 0.561 0.439 0.392
S2 S 0.439 0.561 0.892
S3 S 0.168 0.832 0.569
S4 S 0.832 0.168 0.069
S5 S 0.439 0.561 0.608
S6 S 0.168 0.832 0.931
S7 S 0.561 0.439 0.108
S8 S 0.832 0.168 0.431
Se1 Se 0.237 0.762 0.250
Se2 Se 0.762 0.237 0.750
Cu1 Cu 0.416 0.584 0.463
Cu2 Cu 0.584 0.416 0.963
Cu3 Cu 0.650 0.350 0.250
Cu4 Cu 0.584 0.416 0.537
Cu5 Cu 0.416 0.584 0.037
Cu6 Cu 0.350 0.650 0.750
Cs1 Cs 0.939 0.061 0.250
Cs2 Cs 0.061 0.939 0.750
```